This record from Alexandria describes crystalline Zr2FeP at its relaxed geometry. The functional is PBE-GGA.

Cell and atoms, written as POSCAR:
```
Zr2FeP
1.0
5.5254 -0.0079 0.0000
3.0419 4.6127 0.0000
-4.2837 -2.3024 2.6228
Zr P Fe
2 1 1
Direct
0.0000 0.0000 0.0000
0.2500 0.7500 0.5000
0.7500 0.2500 0.5000
0.5000 0.5000 0.0000
```

* DOS at the Fermi energy: 2.8 states/eV per cell
* ΔH_f (0 K): -447 meV per atom
* spin magnetization: 0.101 μB/atom
* raw total energy: -8.19 eV per atom